The following is a PBE calculation of a geometry-optimized Na4MgZnIn2 structure, from OQMD via LeMat-Bulk.

For the total energy, the calculation gives -14.0 eV for the cell shown.

The structure belongs to space group P-4m2 (No. 115); the cell edges are 5.111, 5.111 and 7.414 Å and the angles 90.00°, 90.00° and 90.00°. Symmetry generates all atoms from Na at (0.000, 0.000, 0.000), Na at (0.000, 0.500, 0.231), Na at (0.500, 0.500, 0.500), Mg at (0.000, 0.000, 0.500), Zn at (0.500, 0.500, 0.000) and In at (0.000, 0.500, 0.758).